# GGA-PBE Pm3Dy2Ho5, optimized geometry
# Energy relative to the lowest polymorph listed for this composition = 0.0000 eV per atom
# D(E_F) = 1.808 states/eV/atom
# Energy relative to the elements = 195 meV per atom
# Total magnetic moment = 0.000 μB/f.u.
# V = 1316.5 Å³ per cell
data_Pm3Dy2Ho5
_chemical_formula_sum 'Pm12 Dy8 Ho20'
_space_group_name_H-M_alt 'C 1 2/c 1'
_space_group_IT_number 15
_cell_length_a 10.6752
_cell_length_b 15.9088
_cell_length_c 9.4027
_cell_angle_alpha 90.00
_cell_angle_beta 124.47
_cell_angle_gamma 90.00
loop_
_space_group_symop_operation_xyz
'x,y,z'
'-x,-y,-z'
'-x,y,-z+1/2'
'x,-y,z+1/2'
'x+1/2,y+1/2,z'
'-x+1/2,-y+1/2,-z'
'-x+1/2,y+1/2,-z+1/2'
'x+1/2,-y+1/2,z+1/2'
loop_
_atom_site_label
_atom_site_fract_x
_atom_site_fract_y
_atom_site_fract_z
_atom_site_occupancy
Pm1 0.0000 0.2337 0.2500 1
Pm2 0.1444 0.1242 0.0465 1
Dy1 0.1522 0.3817 0.5470 1
Ho1 0.0000 0.0259 0.2500 1
Ho2 0.0000 0.2721 0.7500 1
Ho3 0.0000 0.4708 0.7500 1
Ho4 0.2396 0.3864 0.2300 1

***

# GGA-PBE PmDy3Ho12, optimized geometry
# D(E_F) = 1.298 states/eV/atom
# Energy relative to the elements = 20 meV per atom
# Total magnetic moment = 0.000 μB/f.u.
# V = 499.5 Å³ per cell
data_PmDy3Ho12
_chemical_formula_sum 'Pm1 Dy3 Ho12'
_space_group_name_H-M_alt 'P 4/m m m'
_space_group_IT_number 123
_space_group_name_Hall '-P 4 2'
_cell_length_a 4.9993
_cell_length_b 4.9993
_cell_length_c 19.9840
_cell_angle_alpha 90.00
_cell_angle_beta 90.00
_cell_angle_gamma 90.00
loop_
_atom_site_label
_atom_site_fract_x
_atom_site_fract_y
_atom_site_fract_z
_atom_site_occupancy
Pm1 0.0000 0.0000 0.0000 1
Dy1 0.0000 0.0000 0.2506 1
Dy2 0.0000 0.0000 0.5000 1
Ho1 0.0000 0.5000 0.1262 1
Ho2 0.0000 0.5000 0.3754 1
Ho3 0.5000 0.5000 0.0000 1
Ho4 0.5000 0.5000 0.2510 1
Ho5 0.5000 0.5000 0.5000 1

***

# GGA-PBE Pm5Dy2Ho2, optimized geometry
# Energy relative to the lowest polymorph listed for this composition = 0.0000 eV per atom
# D(E_F) = 1.382 states/eV/atom
# Energy relative to the elements = 17 meV per atom
# Total magnetic moment = 0.000 μB/f.u.
# V = 593.2 Å³ per cell
data_Pm5Dy2Ho2
_chemical_formula_sum 'Pm10 Dy4 Ho4'
_space_group_name_H-M_alt 'C 1 2/m 1'
_space_group_IT_number 12
_cell_length_a 11.3953
_cell_length_b 5.0885
_cell_length_c 10.7857
_cell_angle_alpha 90.00
_cell_angle_beta 108.46
_cell_angle_gamma 90.00
loop_
_space_group_symop_operation_xyz
'x,y,z'
'-x,-y,-z'
'-x,y,-z'
'x,-y,z'
'x+1/2,y+1/2,z'
'-x+1/2,-y+1/2,-z'
'-x+1/2,y+1/2,-z'
'x+1/2,-y+1/2,z'
loop_
_atom_site_label
_atom_site_fract_x
_atom_site_fract_y
_atom_site_fract_z
_atom_site_occupancy
Pm1 0.0000 0.0000 0.0000 1
Pm2 0.1665 0.5000 0.5550 1
Pm3 0.1658 0.5000 0.8882 1
Dy1 0.0000 0.0000 0.3333 1
Ho1 0.1672 0.5000 0.2234 1

***

# GGA-PBE Pm3Dy4Ho8, optimized geometry
# D(E_F) = 1.968 states/eV/atom
# Energy relative to the elements = 393 meV per atom
# Total magnetic moment = 0.001 μB/f.u.
# V = 992.7 Å³ per cell
data_Pm3Dy4Ho8
_chemical_formula_sum 'Pm6 Dy8 Ho16'
_space_group_name_H-M_alt 'C 1 2/m 1'
_space_group_IT_number 12
_cell_length_a 13.3560
_cell_length_b 12.7837
_cell_length_c 6.7281
_cell_angle_alpha 90.00
_cell_angle_beta 120.21
_cell_angle_gamma 90.00
loop_
_space_group_symop_operation_xyz
'x,y,z'
'-x,-y,-z'
'-x,y,-z'
'x,-y,z'
'x+1/2,y+1/2,z'
'-x+1/2,-y+1/2,-z'
'-x+1/2,y+1/2,-z'
'x+1/2,-y+1/2,z'
loop_
_atom_site_label
_atom_site_fract_x
_atom_site_fract_y
_atom_site_fract_z
_atom_site_occupancy
Pm1 0.0000 0.0000 0.0000 1
Pm2 0.2500 0.2500 0.0000 1
Dy1 0.0000 0.5000 0.0000 1
Dy2 0.0000 0.5000 0.5000 1
Dy3 0.2500 0.2500 0.5000 1
Ho1 0.0000 0.1409 0.5000 1
Ho2 0.0000 0.2467 0.0000 1
Ho3 0.2316 0.0000 0.9634 1
Ho4 0.2375 0.0000 0.4908 1

***

# GGA-PBE Pm2Dy3Ho2, optimized geometry
# Energy relative to the lowest polymorph listed for this composition = 0.0000 eV per atom
# D(E_F) = 1.293 states/eV/atom
# Energy relative to the elements = 18 meV per atom
# Total magnetic moment = 0.000 μB/f.u.
# V = 224.3 Å³ per cell
data_Pm2Dy3Ho2
_chemical_formula_sum 'Pm2 Dy3 Ho2'
_space_group_name_H-M_alt 'P -1'
_space_group_IT_number 2
_cell_length_a 3.5692
_cell_length_b 6.1616
_cell_length_c 10.7070
_cell_angle_alpha 84.52
_cell_angle_beta 89.97
_cell_angle_gamma 73.24
loop_
_space_group_symop_operation_xyz
'x,y,z'
'-x,-y,-z'
loop_
_atom_site_label
_atom_site_fract_x
_atom_site_fract_y
_atom_site_fract_z
_atom_site_occupancy
Pm1 0.2151 0.0707 0.3553 1
Dy1 0.3571 0.7853 0.9297 1
Dy2 0.5000 0.5000 0.5000 1
Ho1 0.0707 0.3586 0.7880 1

***

# GGA-PBE Pm3Dy3Ho2, optimized geometry
# Energy relative to the lowest polymorph listed for this composition = 0.0000 eV per atom
# D(E_F) = 1.469 states/eV/atom
# Energy relative to the elements = 19 meV per atom
# Total magnetic moment = 0.000 μB/f.u.
# V = 517.8 Å³ per cell
data_Pm3Dy3Ho2
_chemical_formula_sum 'Pm6 Dy6 Ho4'
_space_group_name_H-M_alt 'I m m m'
_space_group_IT_number 71
_space_group_name_Hall '-I 2 2'
_cell_length_a 5.0556
_cell_length_b 5.0593
_cell_length_c 20.2445
_cell_angle_alpha 90.00
_cell_angle_beta 90.00
_cell_angle_gamma 90.00
loop_
_atom_site_label
_atom_site_fract_x
_atom_site_fract_y
_atom_site_fract_z
_atom_site_occupancy
Pm1 0.0000 0.0000 0.0000 1
Pm2 0.0000 0.5000 0.1255 1
Dy1 0.0000 0.0000 0.5000 1
Dy2 0.0000 0.5000 0.3736 1
Ho1 0.0000 0.0000 0.2495 1

***

# GGA-PBE Pm2DyHo, optimized geometry
# Energy relative to the lowest polymorph listed for this composition = 0.0021 eV per atom
# D(E_F) = 1.407 states/eV/atom
# Energy relative to the elements = 15 meV per atom
# Total magnetic moment = 0.000 μB/f.u.
# V = 393.7 Å³ per cell
data_Pm2DyHo
_chemical_formula_sum 'Pm6 Dy3 Ho3'
_space_group_name_H-M_alt 'R 3 m'
_space_group_IT_number 160
_space_group_name_Hall 'R 3 -2"'
_cell_length_a 3.6094
_cell_length_b 3.6094
_cell_length_c 34.8984
_cell_angle_alpha 90.00
_cell_angle_beta 90.00
_cell_angle_gamma 120.00
loop_
_atom_site_label
_atom_site_fract_x
_atom_site_fract_y
_atom_site_fract_z
_atom_site_occupancy
Pm1 0.0000 0.0000 0.0000 1
Pm2 0.0000 0.0000 0.1664 1
Dy1 0.0000 0.0000 0.4165 1
Ho1 0.0000 0.0000 0.5837 1

***

# GGA-PBE Pm6DyHo12, optimized geometry
# Energy relative to the lowest polymorph listed for this composition = 0.0379 eV per atom
# D(E_F) = 1.635 states/eV/atom
# Energy relative to the elements = 215 meV per atom
# Total magnetic moment = 0.000 μB/f.u.
# V = 1903.7 Å³ per cell
data_Pm6DyHo12
_chemical_formula_sum 'Pm18 Dy3 Ho36'
_space_group_name_H-M_alt 'R -3 m'
_space_group_IT_number 166
_space_group_name_Hall '-R 3 2"'
_cell_length_a 13.2069
_cell_length_b 13.2069
_cell_length_c 12.6030
_cell_angle_alpha 90.00
_cell_angle_beta 90.00
_cell_angle_gamma 120.00
loop_
_atom_site_label
_atom_site_fract_x
_atom_site_fract_y
_atom_site_fract_z
_atom_site_occupancy
Pm1 0.0394 0.5197 0.1169 1
Dy1 0.0000 0.0000 0.5000 1
Ho1 0.0000 0.2572 0.0000 1
Ho2 0.0911 0.1821 0.7642 1

***

# GGA-PBE Pm3DyHo8, optimized geometry
# D(E_F) = 1.290 states/eV/atom
# Energy relative to the elements = 299 meV per atom
# Total magnetic moment = 0.000 μB/f.u.
# V = 826.3 Å³ per cell
data_Pm3DyHo8
_chemical_formula_sum 'Pm6 Dy2 Ho16'
_space_group_name_H-M_alt 'I m m m'
_space_group_IT_number 71
_space_group_name_Hall '-I 2 2'
_cell_length_a 6.4338
_cell_length_b 11.2604
_cell_length_c 11.4057
_cell_angle_alpha 90.00
_cell_angle_beta 90.00
_cell_angle_gamma 90.00
loop_
_atom_site_label
_atom_site_fract_x
_atom_site_fract_y
_atom_site_fract_z
_atom_site_occupancy
Pm1 0.0000 0.0000 0.0000 1
Pm2 0.0000 0.5000 0.2467 1
Dy1 0.0000 0.0000 0.5000 1
Ho1 0.0000 0.1685 0.2505 1
Ho2 0.2481 0.2541 0.0000 1

***

# GGA-PBE Pm4Dy8Ho, optimized geometry
# D(E_F) = 1.665 states/eV/atom
# Energy relative to the elements = 512 meV per atom
# Total magnetic moment = 1.059 μB/f.u.
# V = 1417.7 Å³ per cell
data_Pm4Dy8Ho
_chemical_formula_sum 'Pm12 Dy24 Ho3'
_space_group_name_H-M_alt 'R -3 m'
_space_group_IT_number 166
_space_group_name_Hall '-R 3 2"'
_cell_length_a 11.0238
_cell_length_b 11.0238
_cell_length_c 13.4707
_cell_angle_alpha 90.00
_cell_angle_beta 90.00
_cell_angle_gamma 120.00
loop_
_atom_site_label
_atom_site_fract_x
_atom_site_fract_y
_atom_site_fract_z
_atom_site_occupancy
Pm1 0.0000 0.0000 0.0000 1
Pm2 0.0000 0.5000 0.0000 1
Dy1 0.0000 0.0000 0.2400 1
Dy2 0.0130 0.5065 0.7462 1
Ho1 0.0000 0.0000 0.5000 1

***

# GGA-PBE PmDy3Ho7, optimized geometry
# Energy relative to the lowest polymorph listed for this composition = 0.0000 eV per atom
# D(E_F) = 1.579 states/eV/atom
# Energy relative to the elements = 194 meV per atom
# Total magnetic moment = 0.000 μB/f.u.
# V = 366.4 Å³ per cell
data_PmDy3Ho7
_chemical_formula_sum 'Pm1 Dy3 Ho7'
_space_group_name_H-M_alt 'P 3 m 1'
_space_group_IT_number 156
_cell_length_a 7.0246
_cell_length_b 7.0246
_cell_length_c 8.5727
_cell_angle_alpha 90.00
_cell_angle_beta 90.00
_cell_angle_gamma 120.00
loop_
_space_group_symop_operation_xyz
'x,y,z'
'-y,x-y,z'
'-x+y,-x,z'
'-y,-x,z'
'-x+y,y,z'
'x,x-y,z'
loop_
_atom_site_label
_atom_site_fract_x
_atom_site_fract_y
_atom_site_fract_z
_atom_site_occupancy
Pm1 0.0000 0.0000 0.0000 1
Dy1 0.1671 0.3341 0.6621 1
Ho1 0.0024 0.5012 0.9981 1
Ho2 0.3313 0.1656 0.3295 1
Ho3 0.3333 0.6667 0.3269 1

***

# GGA-PBE Pm8DyHo5, optimized geometry
# D(E_F) = 1.478 states/eV/atom
# Energy relative to the elements = 253 meV per atom
# Total magnetic moment = 0.000 μB/f.u.
# V = 954.8 Å³ per cell
data_Pm8DyHo5
_chemical_formula_sum 'Pm16 Dy2 Ho10'
_space_group_name_H-M_alt 'I -4'
_space_group_IT_number 82
_cell_length_a 9.6526
_cell_length_b 9.6526
_cell_length_c 10.2479
_cell_angle_alpha 90.00
_cell_angle_beta 90.00
_cell_angle_gamma 90.00
loop_
_space_group_symop_operation_xyz
'x,y,z'
'y,-x,-z'
'-x,-y,z'
'-y,x,-z'
'x+1/2,y+1/2,z+1/2'
'y+1/2,-x+1/2,-z+1/2'
'-x+1/2,-y+1/2,z+1/2'
'-y+1/2,x+1/2,-z+1/2'
loop_
_atom_site_label
_atom_site_fract_x
_atom_site_fract_y
_atom_site_fract_z
_atom_site_occupancy
Pm1 0.0689 0.1733 0.1540 1
Pm2 0.0887 0.3224 0.4968 1
Dy1 0.0000 0.0000 0.5000 1
Ho1 0.0000 0.5000 0.2500 1
Ho2 0.1087 0.2949 0.8237 1